Density functional theory data (PBE-GGA) for Tb8Pm6Zr after structural relaxation.

Values from the calculation:
DOS(E_F): 1.37 states/eV per atom
Crystal system: trigonal
ρ: 7.53 Mg/m³
DFT total energy: -216.550 eV for the cell shown
Formation energy from the elements: 0.13 eV/atom

abc: 9.1027 9.1027 20.5720
angles: 90.00 90.00 120.00
Closest atoms and distances in Å follow each position.
Space group R-3 (No. 148, hexagonal axes)
One atom of each set of equivalent atoms:
Tb 0.0000 0.0000 0.0768 (multiplicity 6)  4 Tb 3.16-3.44, 3 Pm 3.41
Tb 0.0838 0.5584 0.3048 (multiplicity 18)  3 Pm 3.36-3.64, 5 Tb 3.42-3.50, 1 Zr 3.46
Pm 0.0663 0.2522 0.2086 (multiplicity 18)  4 Tb 3.36-3.64, 1 Zr 3.42, 4 Pm 3.57-3.73
Zr 0.0000 0.0000 0.5000 (multiplicity 3)  6 Pm 3.42, 6 Tb 3.46

---

Density functional theory data (PBE-GGA) for Tb7Pm12Zr after structural relaxation.

Values from the calculation:
DOS(E_F): 1.50 states/eV per atom
Crystal system: trigonal
ρ: 7.15 Mg/m³
DFT total energy: -280.609 eV for the cell shown
Formation energy from the elements: 0.22 eV/atom

abc: 19.5845 19.5845 6.1735
angles: 90.00 90.00 120.00
Closest atoms and distances in Å follow each position.
Space group R-3 (No. 148, hexagonal axes)
One atom of each set of equivalent atoms:
Tb 0.0000 0.0000 0.0000 (multiplicity 3)  2 Zr 3.09, 6 Tb 3.32
Tb 0.0803 0.1616 0.3022 (multiplicity 18)  1 Zr 3.00, 1 Pm 3.31, 1 Tb 3.32
Pm 0.9997 0.4126 0.0001 (multiplicity 18)  2 Tb 3.38, 5 Pm 3.39-3.77
Pm 0.0974 0.5483 0.4737 (multiplicity 18)  4 Tb 3.31-3.61, 1 Pm 3.32
Zr 0.0000 0.0000 0.5000 (multiplicity 3)  8 Tb 3.00-3.09

---

Density functional theory data (PBE-GGA) for Tb8Pm4Zr after structural relaxation.

Values from the calculation:
DOS(E_F): 1.85 states/eV per atom
Crystal system: trigonal
ρ: 6.99 Mg/m³
DFT total energy: -172.623 eV for the cell shown
Formation energy from the elements: 0.54 eV/atom

abc: 10.9493 10.9493 13.3412
angles: 90.00 90.00 120.00
Closest atoms and distances in Å follow each position.
Space group R-3m (No. 166, hexagonal axes)
One atom of each set of equivalent atoms:
Tb 0.0000 0.0000 0.2435 (multiplicity 6)  4 Pm 3.25-3.38, 1 Zr 3.42
Tb 0.0078 0.5039 0.7470 (multiplicity 18)  4 Pm 3.27-3.38, 1 Zr 3.43
Pm 0.0000 0.0000 0.0000 (multiplicity 3)  8 Tb 3.25-3.27
Pm 0.0000 0.5000 0.0000 (multiplicity 9)  8 Tb 3.37-3.38
Zr 0.0000 0.0000 0.5000 (multiplicity 3)  8 Tb 3.42-3.43